Below is an optimized crystal structure of Pm3CoCu2O9, with properties calculated at the PBE+U level.

Cell lengths 5.3791, 5.3791, 6.6058 Å; angles 90.00, 90.00, 120.00 degrees
Space group P-3m1 (No. 164)
Symmetry-distinct sites (fractional):
1 Pm 0.0000 0.0000 0.0000 (multiplicity 1)
2 Pm 0.3333 0.6667 0.6536 (multiplicity 2)
3 Co 0.0000 0.0000 0.5000 (multiplicity 1)
4 Cu 0.3333 0.6667 0.1641 (multiplicity 2)
5 O 0.0000 0.5000 0.0000 (multiplicity 3)
6 O 0.1655 0.3309 0.3384 (multiplicity 6)

Calculated values
total DFT energy (no corrections)	-101.01	eV/cell
total magnetization	0.27	μB per formula unit
calculated density	7.7	g/cm³
N(E_F)	0.43	states/eV/atom